(1)
Ac3Pr2ThTe6 | PBE-GGA | relaxed

DFT total energy (Ha/atom): -0.1983
Calculated volume (Å³ per atom): 34.851
Energy relative to the elements, uncorrected (eV/atom): -1.38

POSCAR file:
```
Ac3Pr2ThTe6
1.0
10.0684 -2.3075 0.0000
10.0684 2.3075 0.0000
-2.1509 0.0000 9.0004
Ac Pr Th Te
3 2 1 6
direct
0.0000 0.0000 0.0000
0.3329 0.3329 0.6671
0.6671 0.6671 0.3329
0.3349 0.3349 0.1700
0.6651 0.6651 0.8300
0.0000 0.0000 0.5000
0.1632 0.1632 0.5885
0.1703 0.1703 0.0757
0.4982 0.4982 0.2587
0.5018 0.5018 0.7413
0.8297 0.8297 0.9243
0.8368 0.8368 0.4115
```

---

(2)
AcPrTlTe | PBE-GGA | relaxed

DFT total energy (Ha/atom): -0.1648
Calculated volume (Å³ per atom): 36.102
Energy relative to the elements, uncorrected (eV/atom): -0.88

POSCAR file:
```
AcPrTlTe
1.0
2.2411 1.2939 8.3001
-2.2411 1.2939 8.3001
0.0000 -2.5878 8.3001
Ac Pr Tl Te
1 1 1 1
direct
0.0000 0.0000 0.0000
0.4973 0.4973 0.4973
0.2451 0.2451 0.2451
0.7538 0.7538 0.7538
```